Entry 1:
First-principles (PBE) data for a relaxed structure of Pm4Te3Au, as listed in the Open Quantum Materials Database.

Properties
- Magnetization: 0.00 μB/atom
- E_tot: -5.227 eV/atom

The structure in CIF format:
```
data_Pm4Te3Au
_symmetry_space_group_name_H-M 'P 1'
_symmetry_Int_Tables_number 1
_cell_length_a 7.736
_cell_length_b 7.736
_cell_length_c 4.324
_cell_angle_alpha 90.00
_cell_angle_beta 90.00
_cell_angle_gamma 108.47
loop_
_symmetry_equiv_pos_as_xyz
'x,y,z'
loop_
_atom_site_label
_atom_site_type_symbol
_atom_site_fract_x
_atom_site_fract_y
_atom_site_fract_z
Au1 Au 0.000 0.000 0.500
Pm1 Pm 0.233 0.233 0.000
Pm2 Pm 0.767 0.767 0.000
Pm3 Pm 0.755 0.245 0.500
Pm4 Pm 0.245 0.755 0.500
Te1 Te 0.500 0.000 0.000
Te2 Te 0.000 0.500 0.000
Te3 Te 0.500 0.500 0.500
```

---

Entry 2:
First-principles (PBE) data for a relaxed structure of ThCl, as listed in the Open Quantum Materials Database.

Properties
- Magnetization: 0.01 μB/atom
- E_tot: -5.587 eV/atom

The structure in CIF format:
```
data_ThCl
_symmetry_space_group_name_H-M 'P 1'
_symmetry_Int_Tables_number 1
_cell_length_a 3.490
_cell_length_b 3.490
_cell_length_c 4.655
_cell_angle_alpha 90.00
_cell_angle_beta 90.00
_cell_angle_gamma 120.00
loop_
_symmetry_equiv_pos_as_xyz
'x,y,z'
loop_
_atom_site_label
_atom_site_type_symbol
_atom_site_fract_x
_atom_site_fract_y
_atom_site_fract_z
Cl1 Cl 0.667 0.333 0.750
Th1 Th 0.333 0.667 0.250
```

---

Entry 3:
First-principles (PBE) data for a relaxed structure of NaAsOsO, as listed in the Open Quantum Materials Database.

Properties
- Offset from the most stable computed form: 0.152 eV/f.u.
- Magnetization: 0.00 μB/atom

The structure in CIF format:
```
data_NaAsOsO
_symmetry_space_group_name_H-M 'P 1'
_symmetry_Int_Tables_number 1
_cell_length_a 3.805
_cell_length_b 4.495
_cell_length_c 7.441
_cell_angle_alpha 90.00
_cell_angle_beta 90.00
_cell_angle_gamma 90.00
loop_
_symmetry_equiv_pos_as_xyz
'x,y,z'
loop_
_atom_site_label
_atom_site_type_symbol
_atom_site_fract_x
_atom_site_fract_y
_atom_site_fract_z
As1 As 0.000 0.739 0.276
As2 As 0.000 0.261 0.776
Na1 Na 0.500 0.256 0.102
Na2 Na 0.500 0.744 0.602
O1 O 0.500 0.235 0.436
O2 O 0.500 0.765 0.936
Os1 Os 0.000 0.237 0.440
Os2 Os 0.000 0.763 0.940
```

---

Entry 4:
First-principles (PBE) data for a relaxed structure of UCdBi2, as listed in the Open Quantum Materials Database.

Properties
- Magnetization: 0.56 μB/atom
- E_tot: -5.078 eV/atom

The structure in CIF format:
```
data_UCdBi2
_symmetry_space_group_name_H-M 'P 1'
_symmetry_Int_Tables_number 1
_cell_length_a 5.073
_cell_length_b 5.073
_cell_length_c 4.181
_cell_angle_alpha 90.00
_cell_angle_beta 90.00
_cell_angle_gamma 90.00
loop_
_symmetry_equiv_pos_as_xyz
'x,y,z'
loop_
_atom_site_label
_atom_site_type_symbol
_atom_site_fract_x
_atom_site_fract_y
_atom_site_fract_z
Bi1 Bi 0.500 0.000 0.000
Bi2 Bi 0.000 0.500 0.000
Cd1 Cd 0.000 0.000 0.500
U1 U 0.500 0.500 0.500
```